# 1
DFT (PBE) results for an optimized crystal structure of Y4HoSc2.

Values from the calculation:
offset from the most stable computed form = 60 meV per atom

Lattice parameters (Å, degrees): 6.000 5.994 8.228 126.12 113.31 69.47
Fractional positions:
1 Y 0.020 0.678 0.270
2 Sc 0.500 0.000 0.500
3 Y 0.980 0.322 0.730
4 Y 0.408 0.750 0.730
5 Sc 0.500 0.500 0.000
6 Ho 0.000 0.000 0.000
7 Y 0.592 0.250 0.270

---

# 2
DFT (PBE) results for an optimized crystal structure of Y7Ho3Sc.

Values from the calculation:
offset from the most stable computed form = 0 meV per atom

Lattice parameters (Å, degrees): 9.774 9.774 13.064 100.68 100.68 138.65
Fractional positions:
1 Y 0.499 0.499 0.250
2 Y 0.501 0.501 0.750
3 Ho 0.000 0.000 0.000
4 Y 0.442 0.123 0.531
5 Ho 0.499 0.000 0.250
6 Ho 0.000 0.501 0.750
7 Y 0.086 0.913 0.250
8 Y 0.914 0.087 0.750
9 Y 0.877 0.558 0.469
10 Y 0.087 0.914 0.750
11 Y 0.442 0.122 0.031
12 Ho 0.000 0.000 0.500
13 Sc 0.500 0.500 0.000
14 Y 0.878 0.558 0.969
15 Y 0.122 0.442 0.031
16 Sc 0.500 0.500 0.500
17 Ho 0.501 0.000 0.750
18 Y 0.913 0.086 0.250
19 Y 0.558 0.877 0.469
20 Y 0.558 0.878 0.969
21 Y 0.123 0.442 0.531
22 Ho 0.000 0.499 0.250

---

# 3
DFT (PBE) results for an optimized crystal structure of Y2Ho2Sc5.

Lattice parameters (Å, degrees): 8.307 10.491 8.862 126.30 117.95 90.00
Fractional positions:
1 Y 0.520 0.873 0.789
2 Ho 0.500 0.543 0.000
3 Sc 0.565 0.408 0.252
4 Ho 0.000 0.043 0.000
5 Y 0.769 0.373 0.789
6 Sc 0.792 0.883 0.198
7 Sc 0.020 0.787 0.500
8 Sc 0.208 0.684 0.802
9 Y 0.480 0.083 0.211
10 Sc 0.906 0.383 0.198
11 Ho 0.357 0.420 0.500
12 Y 0.231 0.583 0.211
13 Sc 0.435 0.156 0.748
14 Sc 0.813 0.656 0.748
15 Sc 0.187 0.908 0.252
16 Sc 0.094 0.184 0.802
17 Ho 0.643 0.920 0.500
18 Sc 0.980 0.287 0.500

---

# 4
DFT (PBE) results for an optimized crystal structure of Y4Ho2Sc.

Values from the calculation:
offset from the most stable computed form = 177 meV per atom

Lattice parameters (Å, degrees): 5.267 11.097 15.127 90.00 90.00 90.00
Fractional positions:
1 Y 0.000 0.408 0.191
2 Y 0.000 0.701 0.570
3 Sc 0.500 0.500 0.500
4 Y 0.500 0.299 0.070
5 Y 0.000 0.592 0.809
6 Y 0.500 0.592 0.691
7 Ho 0.500 0.610 0.155
8 Ho 0.000 0.610 0.345
9 Y 0.000 0.092 0.691
10 Ho 0.500 0.390 0.845
11 Y 0.500 0.092 0.809
12 Y 0.500 0.908 0.191
13 Y 0.000 0.299 0.430
14 Ho 0.000 0.110 0.155
15 Y 0.000 0.201 0.930
16 Y 0.500 0.408 0.309
17 Ho 0.000 0.390 0.655
18 Sc 0.500 0.000 0.000
19 Y 0.000 0.908 0.309
20 Ho 0.500 0.110 0.345
21 Y 0.000 0.799 0.070
22 Sc 0.000 0.500 0.000
23 Y 0.500 0.201 0.570
24 Ho 0.000 0.890 0.845
25 Sc 0.000 0.000 0.500
26 Ho 0.500 0.890 0.655
27 Y 0.500 0.701 0.930
28 Y 0.500 0.799 0.430

---

# 5
DFT (PBE) results for an optimized crystal structure of YHo2Sc.

Values from the calculation:
offset from the most stable computed form = 12 meV per atom

Lattice parameters (Å, degrees): 3.496 3.496 9.693 90.00 90.00 90.00
Fractional positions:
1 Sc 0.500 0.500 0.000
2 Ho 0.000 0.000 0.238
3 Y 0.500 0.500 0.500
4 Ho 0.000 0.000 0.762

---

# 6
DFT (PBE) results for an optimized crystal structure of YHo2Sc.

Values from the calculation:
offset from the most stable computed form = 17 meV per atom

Lattice parameters (Å, degrees): 3.483 3.483 11.441 81.24 81.24 60.00
Fractional positions:
1 Sc 0.500 0.500 0.500
2 Y 0.000 0.000 0.000
3 Ho 0.247 0.247 0.260
4 Ho 0.753 0.753 0.740

---

# 7
DFT (PBE) results for an optimized crystal structure of Y3Ho6Sc2.

Values from the calculation:
offset from the most stable computed form = 200 meV per atom

Lattice parameters (Å, degrees): 4.692 4.692 16.254 98.30 98.30 90.00
Fractional positions:
1 Sc 0.544 0.544 0.087
2 Y 0.000 0.000 0.000
3 Y 0.201 0.201 0.402
4 Ho 0.615 0.115 0.231
5 Ho 0.385 0.885 0.769
6 Ho 0.885 0.385 0.769
7 Y 0.799 0.799 0.598
8 Ho 0.309 0.309 0.618
9 Ho 0.691 0.691 0.382
10 Sc 0.456 0.456 0.913
11 Ho 0.115 0.615 0.231

---

# 8
DFT (PBE) results for an optimized crystal structure of YHo2Sc4.

Values from the calculation:
offset from the most stable computed form = 153 meV per atom

Lattice parameters (Å, degrees): 3.365 11.051 7.652 136.23 90.00 90.00
Fractional positions:
1 Ho 0.000 0.195 0.389
2 Sc 0.000 0.228 0.000
3 Sc 0.500 0.500 0.500
4 Y 0.500 0.500 0.000
5 Sc 0.500 0.000 0.500
6 Ho 0.000 0.805 0.611
7 Sc 0.000 0.772 0.000

---

Number 1: uncorrected energy -41.7 eV for the cell shown, energy of formation 205 meV per atom. Number 2: uncorrected energy -127.4 eV for the cell shown, energy of formation 145 meV per atom. Number 3: uncorrected energy -103.9 eV for the cell shown, energy of formation 197 meV per atom. Number 4: uncorrected energy -160.0 eV for the cell shown, energy of formation 192 meV per atom. Number 5: uncorrected energy -21.8 eV for the cell shown, energy of formation 43 meV per atom. Number 6: uncorrected energy -21.8 eV for the cell shown, energy of formation 48 meV per atom. Number 7: uncorrected energy -56.3 eV for the cell shown, energy of formation 293 meV per atom. Number 8: uncorrected energy -39.7 eV for the cell shown, energy of formation 175 meV per atom.